Here is a crystal of Tb3CuGeSe7 relaxed with PBEsol from Alexandria. Energies are from SCAN.

Summary:
- E_form (uncorrected) (eV/atom) = -1.4306
- mass density (g/cm3) = 7.180
- total energy (eV/atom) = -27.691
- crystal system = hexagonal

Cell lengths 10.2221, 10.2221, 5.9582 Å; angles 90.00, 90.00, 120.00 degrees
Space group P6_3 (No. 173)
One atom of each set of equivalent atoms:
Tb: 0.1328 0.3554 0.0000 [6 per cell]
Cu: 0.0000 0.0000 0.4618 [2 per cell]
Ge: 0.3333 0.6667 0.5828 [2 per cell]
Se: 0.0913 0.5757 0.7495 [6 per cell]
Se: 0.0998 0.2622 0.4769 [6 per cell]
Se: 0.3333 0.6667 0.1917 [2 per cell]